No. 1
La2SmEr9 (PBE-GGA, optimized geometry); ΔH_f (0 K) = 3.19 kJ/mol of atoms; E_tot = -4.604 eV per atom
1.0
5.0340 0.0000 0.0000
0.0000 5.0340 0.0000
0.0000 0.0000 15.1172
Er La Sm
9 2 1
Direct
0.5000 0.5000 0.0000
0.5000 0.5000 0.6683
0.5000 0.0000 0.1636
0.5000 0.0000 0.5000
0.5000 0.0000 0.8364
0.0000 0.5000 0.1636
0.0000 0.5000 0.8364
0.0000 0.5000 0.5000
0.5000 0.5000 0.3317
0.0000 0.0000 0.3335
0.0000 0.0000 0.6665
0.0000 0.0000 0.0000

---

No. 2
Ta2InAg (PBE-GGA, optimized geometry); ΔH_f (0 K) = 25.90 kJ/mol of atoms; E_tot = -7.055 eV per atom
1.0
4.5375 0.0000 0.0000
0.0000 2.9077 0.0626
0.0000 2.7913 5.7127
Ta In Ag
2 1 1
Direct
0.0000 0.5023 0.4971
0.0000 0.9977 0.0029
0.5000 0.7500 0.7500
0.5000 0.2500 0.2500

---

No. 3
Zn2In2S (PBE-GGA, optimized geometry); E_tot = -2.323 eV per atom; raw formation energy = 0.5 eV/f.u.
1.0
-2.2093 -6.5274 3.3866
3.4121 2.2224 6.5096
-3.2206 1.6701 1.1179
In Zn S
4 4 2
Direct
0.3108 0.8108 0.0000
0.6892 0.1892 0.0000
0.8108 0.6892 0.0000
0.1892 0.3108 0.0000
0.1172 0.6172 0.5000
0.6172 0.8828 0.5000
0.8828 0.3828 0.5000
0.3828 0.1172 0.5000
0.5000 0.5000 0.0000
0.0000 0.0000 0.0000

---

No. 4
LaPr5Dy2 (PBE-GGA, optimized geometry); ΔH_f (0 K) = 1.08 kJ/mol of atoms; E_tot = -4.742 eV per atom
1.0
5.1887 0.0000 0.0000
0.0000 7.3505 0.0000
0.0000 0.0000 14.7048
Dy Pr La
4 10 2
Direct
0.5000 0.2491 0.6254
0.5000 0.7509 0.3746
0.5000 0.7491 0.8746
0.5000 0.2509 0.1254
0.0000 0.5000 0.5000
0.5000 0.2506 0.3747
0.0000 0.9985 0.7506
0.5000 0.7494 0.6253
0.5000 0.7506 0.1253
0.0000 0.5015 0.2506
0.5000 0.2494 0.8747
0.0000 0.4985 0.7494
0.0000 0.0015 0.2494
0.0000 0.0000 0.0000
0.0000 0.0000 0.5000
0.0000 0.5000 0.0000

---

No. 5
La2RuBr (PBE-GGA, optimized geometry); E_tot = -5.904 eV per atom; raw formation energy = -2.8 eV/f.u.
1.0
-0.0571 -3.9463 -4.8666
1.9389 -5.6235 -1.9690
-3.9672 -1.9333 1.6139
La Br Ru
2 1 1
Direct
0.9965 0.9965 0.1252
0.7204 0.7204 0.6249
0.2619 0.2619 0.1249
0.5212 0.5212 0.6250

---

No. 6
BaSrCd2 (PBE-GGA, optimized geometry); ΔH_f (0 K) = -2.56 kJ/mol of atoms; E_tot = -1.385 eV per atom
1.0
9.2164 0.0000 0.0000
0.0000 9.2164 0.0000
4.6082 4.6082 3.9802
Ba Cd Sr
2 4 2
Direct
0.7500 0.2500 0.5000
0.0000 0.0000 0.0000
0.1376 0.6250 0.2500
0.3750 0.3876 0.7500
0.8750 0.8624 0.7500
0.6124 0.1250 0.2500
0.5000 0.5000 0.0000
0.2500 0.7500 0.5000